{"formula": "Gd3Tl3Sn2Pb2", "functional": "PBE-GGA", "state": "optimized geometry", "cell": [[2.2884, -12.6766, 0.0000], [2.2884, 12.6766, 0.0000], [0.0000, 0.0000, 4.7593]], "species": ["Gd", "Gd", "Gd", "Tl", "Tl", "Tl", "Sn", "Sn", "Pb", "Pb"], "fractional_positions": [[0.0000, 0.0000, 0.0000], [0.1863, 0.8137, 0.0000], [0.8137, 0.1863, 0.0000], [0.0969, 0.9031, 0.5000], [0.5000, 0.5000, 0.5000], [0.9031, 0.0969, 0.5000], [0.4053, 0.5947, 0.0000], [0.5947, 0.4053, 0.0000], [0.2951, 0.7049, 0.5000], [0.7049, 0.2951, 0.5000]], "energy_ev_per_atom": -4.04, "space_group": "Cmmm, No. 65", "rho_g_cm3": 10.4, "relative_energy_ev_per_fu": 0.08}